No. 1
7
Lattice="2.317 -8.835 0.000 2.317 8.835 0.000 0.000 0.000 4.620" Properties=species:S:1:pos:R:3 comment="PBE-GGA TlCd4Sn2, relaxed" spacegroup="Cmmm, No. 65" e_form_ev_per_atom=0.0439 magnetic_moment_mub_per_fu=0.000 pbc="T T T"
Tl 0.000 0.000 0.000
Cd 2.317 5.505 2.310
Cd 2.317 3.375 0.000
Cd 2.317 -3.375 0.000
Cd 2.317 -5.505 2.310
Sn 2.317 1.478 2.310
Sn 2.317 -1.478 2.310

=====

No. 2
14
Lattice="-2.519 5.835 6.763 2.519 -5.835 6.763 2.519 5.835 -6.763" Properties=species:S:1:pos:R:3 comment="PBE-GGA Tl3Cd3Sn8, relaxed" spacegroup="Immm, No. 71" e_form_ev_per_atom=0.0304 magnetic_moment_mub_per_fu=0.000 pbc="T T T"
Tl 0.000 0.000 0.000
Tl 0.000 0.000 3.717
Tl 0.000 0.000 9.810
Cd 2.519 4.250 0.000
Cd 0.000 5.835 0.000
Cd 0.000 1.585 6.763
Sn 2.519 1.623 -1.733
Sn 2.519 -2.406 4.741
Sn 2.519 1.623 1.733
Sn 0.000 3.429 2.023
Sn 2.519 2.406 4.741
Sn 0.000 4.212 5.030
Sn 0.000 8.242 2.023
Sn 0.000 4.212 8.497